Material: TmSi2Ni2
Method: DFT, GGA-PBEsol
State: relaxed

a b c (Å): 3.8925 3.8925 5.4413
angles (deg): 110.96 110.96 90.00
Closest atoms and distances in Å follow each position.
Atoms (fractional coordinates):
Ni: 0.2500 0.7500 0.5000  4 Si 2.27
Ni: 0.7500 0.2500 0.5000  4 Si 2.27
Si: 0.3740 0.3740 0.7480  4 Ni 2.27, 1 Si 2.37
Si: 0.6260 0.6260 0.2520  4 Ni 2.27, 1 Si 2.37
Tm: 0.0000 0.0000 0.0000  8 Si 3.00, 8 Ni 3.05

Results
Total energy   -6.659 eV/atom


Material: SrY2ZnTc
Method: DFT, GGA-PBEsol
State: relaxed

a b c (Å): 4.9111 5.4080 5.4080
angles (deg): 90.00 90.00 90.00
Closest atoms and distances in Å follow each position.
Atoms (fractional coordinates):
Y: 0.0000 0.0000 0.5000  2 Sr 2.70
Y: 0.0000 0.5000 0.0000  2 Sr 2.70
Sr: 0.0000 0.0000 0.0000  2 Zn 2.46, 4 Y 2.70
Zn: 0.5000 0.0000 0.0000  2 Sr 2.46
Tc: 0.5000 0.5000 0.5000  8 Y 3.65, 4 Zn 3.82

Results
Total energy   -3.716 eV/atom
Calculated formation energy   941 kJ/mol of formula units